This record from Alexandria describes MnH3W after structural relaxation. The functional is PBE.

Summary:
For the density of states at the Fermi level, the calculation gives 2.5 states/eV/cell. As for the energy: -6.06 eV/atom.

```
MnH3W
1.0
-0.074 2.660 -1.882
1.428 -1.666 -2.410
-2.929 -0.879 -1.128
H Mn W
3 1 1
Cartesian
0.714 -0.833 -1.205 H
-1.465 -0.440 -0.564 H
-0.037 1.330 -0.941 H
0.000 0.000 0.000 Mn
-0.787 0.058 -2.710 W
```